1:
{
  "formula": "Al3MoO",
  "functional": "PBE+U",
  "state": "relaxed",
  "cell": [[4.987, 0.000, 0.000], [0.000, 4.987, 0.000], [0.000, 0.000, 4.987]],
  "species": ["Al", "Al", "Al", "Mo", "O"],
  "frac_coords": [[0.000, 0.000, 0.500], [0.000, 0.500, 0.000], [0.500, 0.000, 0.000], [0.000, 0.000, 0.000], [0.500, 0.500, 0.500]]
}

2:
{
  "formula": "Al3MoO",
  "functional": "PBE+U",
  "state": "relaxed",
  "cell": [[4.064, 0.000, 0.000], [0.000, 4.064, 0.000], [0.000, 0.000, 4.064]],
  "species": ["Al", "Al", "Al", "Mo", "O"],
  "frac_coords": [[0.000, 0.000, 0.500], [0.000, 0.500, 0.000], [0.500, 0.000, 0.000], [0.500, 0.500, 0.500], [0.000, 0.000, 0.000]]
}

Most stable structure - 2; separation to the second - 144.8 kJ/mol of atoms.